Entry 1:
# SmSO4F2 | Alexandria | GGA-PBE | relaxed
data_SmSO4F2
_chemical_formula_sum 'Sm2 S2 O8 F4'
_space_group_name_H-M_alt 'P 1'
_space_group_IT_number 1
_cell_length_a 5.8967
_cell_length_b 7.5128
_cell_length_c 5.4265
_cell_angle_alpha 90.00
_cell_angle_beta 90.00
_cell_angle_gamma 90.00
loop_
_space_group_symop_operation_xyz
'x,y,z'
loop_
_atom_site_label
_atom_site_type_symbol
_atom_site_fract_x
_atom_site_fract_y
_atom_site_fract_z
_atom_site_occupancy
Sm1 Sm 0.0000 0.1236 0.0000 1
Sm2 Sm 0.5000 0.8764 0.5000 1
S1 S 0.0000 0.5747 0.6301 1
S2 S 0.5000 0.4253 0.1301 1
O1 O 0.0000 0.4058 0.7639 1
O2 O 0.0000 0.5452 0.3598 1
O3 O 0.2030 0.6832 0.6956 1
O4 O 0.2970 0.3168 0.1956 1
O5 O 0.5000 0.4548 0.8598 1
O6 O 0.5000 0.5942 0.2639 1
O7 O 0.7030 0.3168 0.1956 1
O8 O 0.7970 0.6832 0.6956 1
F1 F 0.2437 0.9462 0.2104 1
F2 F 0.2563 0.0538 0.7104 1
F3 F 0.7437 0.0538 0.7104 1
F4 F 0.7563 0.9462 0.2104 1
# DFT total energy in eV for the cell shown: -101.20
# Uncorrected formation energy in eV/atom: -2.272
# SG: Pmn2_1, No. 31

***

Entry 2:
# NaLi5Ca2Cd2 | Alexandria | GGA-PBE | relaxed
data_NaLi5Ca2Cd2
_chemical_formula_sum 'Na2 Li10 Ca4 Cd4'
_space_group_name_H-M_alt 'P 1'
_space_group_IT_number 1
_cell_length_a 10.8340
_cell_length_b 10.8340
_cell_length_c 4.4521
_cell_angle_alpha 90.00
_cell_angle_beta 90.00
_cell_angle_gamma 90.00
loop_
_space_group_symop_operation_xyz
'x,y,z'
loop_
_atom_site_label
_atom_site_type_symbol
_atom_site_fract_x
_atom_site_fract_y
_atom_site_fract_z
_atom_site_occupancy
Na1 Na 0.0000 0.0000 0.0000 1
Na2 Na 0.5000 0.5000 0.0000 1
Li1 Li 0.0000 0.5000 0.5000 1
Li2 Li 0.0687 0.2193 0.5000 1
Li3 Li 0.2193 0.9313 0.5000 1
Li4 Li 0.2807 0.4313 0.5000 1
Li5 Li 0.4313 0.7193 0.5000 1
Li6 Li 0.5000 0.0000 0.5000 1
Li7 Li 0.5687 0.2807 0.5000 1
Li8 Li 0.7193 0.5687 0.5000 1
Li9 Li 0.7807 0.0687 0.5000 1
Li10 Li 0.9313 0.7807 0.5000 1
Ca1 Ca 0.1773 0.6773 0.0000 1
Ca2 Ca 0.3227 0.1773 0.0000 1
Ca3 Ca 0.6773 0.8227 0.0000 1
Ca4 Ca 0.8227 0.3227 0.0000 1
Cd1 Cd 0.1161 0.3839 0.0000 1
Cd2 Cd 0.3839 0.8839 0.0000 1
Cd3 Cd 0.6161 0.1161 0.0000 1
Cd4 Cd 0.8839 0.6161 0.0000 1
# DFT total energy in eV for the cell shown: -35.67
# SG: P4/mbm, No. 127

***

Entry 3:
# MnSi2Te | Alexandria | GGA-PBE | relaxed
data_MnSi2Te
_chemical_formula_sum 'Mn1 Si2 Te1'
_space_group_name_H-M_alt 'P 1'
_space_group_IT_number 1
_cell_length_a 3.7632
_cell_length_b 3.7632
_cell_length_c 5.3266
_cell_angle_alpha 90.00
_cell_angle_beta 90.00
_cell_angle_gamma 90.00
loop_
_space_group_symop_operation_xyz
'x,y,z'
loop_
_atom_site_label
_atom_site_type_symbol
_atom_site_fract_x
_atom_site_fract_y
_atom_site_fract_z
_atom_site_occupancy
Mn1 Mn 0.0000 0.0000 0.0000 1
Si1 Si 0.0000 0.5000 0.5000 1
Si2 Si 0.5000 0.0000 0.5000 1
Te1 Te 0.5000 0.5000 0.0000 1
# DFT total energy in eV for the cell shown: -21.12
# Uncorrected formation energy in eV/atom: 0.508
# SG: P4/mmm, No. 123

***

Entry 4:
# CrP2PbS | Alexandria | GGA-PBE | relaxed
data_CrP2PbS
_chemical_formula_sum 'Cr1 P2 Pb1 S1'
_space_group_name_H-M_alt 'P 1'
_space_group_IT_number 1
_cell_length_a 4.3898
_cell_length_b 4.3898
_cell_length_c 5.3242
_cell_angle_alpha 90.00
_cell_angle_beta 90.00
_cell_angle_gamma 90.00
loop_
_space_group_symop_operation_xyz
'x,y,z'
loop_
_atom_site_label
_atom_site_type_symbol
_atom_site_fract_x
_atom_site_fract_y
_atom_site_fract_z
_atom_site_occupancy
Cr1 Cr 0.0000 0.0000 0.0000 1
P1 P 0.0000 0.5000 0.0000 1
P2 P 0.5000 0.0000 0.0000 1
Pb1 Pb 0.5000 0.5000 0.5000 1
S1 S 0.0000 0.0000 0.5000 1
# DFT total energy in eV for the cell shown: -27.49
# Energy above the lowest structure with this stoichiometry in meV/atom: 0.0
# Uncorrected formation energy in eV/atom: 0.157
# SG: P4/mmm, No. 123

***

Entry 5:
# SmInAgRh | Alexandria | GGA-PBE | relaxed
data_SmInAgRh
_chemical_formula_sum 'Sm1 In1 Ag1 Rh1'
_space_group_name_H-M_alt 'P 1'
_space_group_IT_number 1
_cell_length_a 4.8906
_cell_length_b 4.8906
_cell_length_c 4.8906
_cell_angle_alpha 60.00
_cell_angle_beta 60.00
_cell_angle_gamma 60.00
loop_
_space_group_symop_operation_xyz
'x,y,z'
loop_
_atom_site_label
_atom_site_type_symbol
_atom_site_fract_x
_atom_site_fract_y
_atom_site_fract_z
_atom_site_occupancy
Sm1 Sm 0.0000 0.0000 0.0000 1
In1 In 0.5000 0.5000 0.5000 1
Ag1 Ag 0.7500 0.7500 0.7500 1
Rh1 Rh 0.2500 0.2500 0.2500 1
# DFT total energy in eV for the cell shown: -19.33
# SG: F-43m, No. 216

***

Entry 6:
# BH2Ir | Alexandria | GGA-PBE | relaxed
data_BH2Ir
_chemical_formula_sum 'B2 H4 Ir2'
_space_group_name_H-M_alt 'P 1'
_space_group_IT_number 1
_cell_length_a 7.4525
_cell_length_b 7.4525
_cell_length_c 7.4525
_cell_angle_alpha 156.40
_cell_angle_beta 156.40
_cell_angle_gamma 33.62
loop_
_space_group_symop_operation_xyz
'x,y,z'
loop_
_atom_site_label
_atom_site_type_symbol
_atom_site_fract_x
_atom_site_fract_y
_atom_site_fract_z
_atom_site_occupancy
B1 B 0.3750 0.6250 0.7500 1
B2 B 0.6250 0.3750 0.2500 1
H1 H 0.0000 0.0000 0.0000 1
H2 H 0.0000 0.0000 0.5000 1
H3 H 0.0000 0.5000 0.0000 1
H4 H 0.5000 0.0000 0.5000 1
Ir1 Ir 0.1250 0.8750 0.2500 1
Ir2 Ir 0.8750 0.1250 0.7500 1
# DFT total energy in eV for the cell shown: -40.59
# Energy above the lowest structure with this stoichiometry in meV/atom: 0.0
# SG: I4_1/amd, No. 141

***

Copy entry 6 word for word.
# BH2Ir | Alexandria | GGA-PBE | relaxed
data_BH2Ir
_chemical_formula_sum 'B2 H4 Ir2'
_space_group_name_H-M_alt 'P 1'
_space_group_IT_number 1
_cell_length_a 7.4525
_cell_length_b 7.4525
_cell_length_c 7.4525
_cell_angle_alpha 156.40
_cell_angle_beta 156.40
_cell_angle_gamma 33.62
loop_
_space_group_symop_operation_xyz
'x,y,z'
loop_
_atom_site_label
_atom_site_type_symbol
_atom_site_fract_x
_atom_site_fract_y
_atom_site_fract_z
_atom_site_occupancy
B1 B 0.3750 0.6250 0.7500 1
B2 B 0.6250 0.3750 0.2500 1
H1 H 0.0000 0.0000 0.0000 1
H2 H 0.0000 0.0000 0.5000 1
H3 H 0.0000 0.5000 0.0000 1
H4 H 0.5000 0.0000 0.5000 1
Ir1 Ir 0.1250 0.8750 0.2500 1
Ir2 Ir 0.8750 0.1250 0.7500 1
# DFT total energy in eV for the cell shown: -40.59
# Energy above the lowest structure with this stoichiometry in meV/atom: 0.0
# SG: I4_1/amd, No. 141